DFT (GGA-PBE) results for an optimized crystal structure of PaSi2Ir2Os.

Unit cell a=3.8714 b=3.8714 c=9.1874 alpha=102.16 beta=102.16 gamma=90.00
Closest atoms and distances in Å follow each position.
Element x y z (fractional)
Pa (0.5000, 0.5000, 0.0000)  4 Os 2.74, 2 Si 3.00
Ir (0.7500, 0.2500, 0.5000)  4 Si 2.38
Ir (0.2500, 0.7500, 0.5000)  4 Si 2.38
Si (0.3290, 0.3290, 0.6579)  4 Ir 2.38
Si (0.6710, 0.6710, 0.3421)  4 Ir 2.38
Os (0.0000, 0.0000, 0.0000)  4 Pa 2.74

Values from the calculation:
SG = No. 139
M_tot = 0.00 μB/f.u.
electronic total energy = -8.082 eV/atom
raw formation energy = 0.134 eV/atom